(1)
The following is a PBE calculation of a relaxed structure of YCdH8Ir2, from Alexandria via LeMat-Bulk.

```
YCdH8Ir2
1.0
4.3479 -2.1742 0.0000
4.3479 2.1742 0.0000
-2.0357 0.0000 5.7314
Y Cd H Ir
1 1 8 2
Direct
0.0000 0.0000 0.0000
0.5000 0.5000 0.5000
0.0741 0.5670 0.1681
0.2079 0.2079 0.3753
0.4119 0.4119 0.8546
0.4330 0.9259 0.8319
0.5670 0.0741 0.1681
0.5881 0.5881 0.1454
0.7921 0.7921 0.6247
0.9259 0.4330 0.8319
0.2198 0.2198 0.6584
0.7802 0.7802 0.3416
```

The final energy is -53.7 eV for the cell shown. As for the spin magnetization: 0.00 μB per cell. The calculation puts the calculated volume at 9.03 Å³/atom. As for the crystal system: monoclinic.

(2)
The following is a PBE calculation of a relaxed structure of ZnCd2HIr, from Alexandria via LeMat-Bulk.

```
ZnCd2HIr
1.0
5.3027 0.0000 0.0000
0.0000 5.3027 0.0000
0.0000 0.0000 3.3457
Zn Cd H Ir
1 2 1 1
Direct
0.0000 0.0000 0.0000
0.0000 0.5000 0.5000
0.5000 0.0000 0.5000
0.5000 0.5000 0.0000
0.5000 0.5000 0.5000
```

The final energy is -13.5 eV for the cell shown. As for the spin magnetization: 0.00 μB per cell. The calculation puts the calculated volume at 18.81 Å³/atom. As for the crystal system: tetragonal.

- Which of these has the lowest calculated volume?
  YCdH8Ir2

- The lowest final energy belongs to which entry?
  YCdH8Ir2